1.
Below is crystalline MgIn2Bi at its relaxed geometry, with properties calculated at the GGA-PBE level.

density of states at the Fermi level	1.5	states/eV per cell
energy above the lowest structure with this stoichiometry	0.003	eV/f.u.
crystal system	tetragonal
DFT formation energy	-0.2	eV per formula unit

a = 5.279 Å, b = 4.549 Å, c = 4.549 Å
α = 90.00°, β = 90.00°, γ = 90.00°
Atoms (fractional coordinates):
In: 0.000 0.500 0.000
In: 0.000 0.000 0.500
Bi: 0.500 0.500 0.500
Mg: 0.500 0.000 0.000

2.
Below is crystalline Na6In3Pb at its relaxed geometry, with properties calculated at the GGA-PBE level.

density of states at the Fermi level	7.5	states/eV per cell
crystal system	monoclinic
DFT formation energy	-0.6	eV per formula unit

a = 3.455 Å, b = 12.467 Å, c = 13.690 Å
α = 100.05°, β = 90.00°, γ = 90.00°
Atoms (fractional coordinates):
In: 0.750 0.431 0.908
In: 0.750 0.613 0.500
In: 0.750 0.074 0.097
In: 0.250 0.926 0.903
In: 0.250 0.569 0.092
In: 0.250 0.387 0.500
Na: 0.250 0.189 0.918
Na: 0.250 0.656 0.887
Na: 0.750 0.132 0.483
Na: 0.250 0.222 0.289
Na: 0.750 0.811 0.082
Na: 0.750 0.344 0.113
Na: 0.750 0.502 0.692
Na: 0.250 0.868 0.517
Na: 0.250 0.498 0.308
Na: 0.250 0.270 0.709
Na: 0.750 0.730 0.291
Na: 0.750 0.778 0.711
Pb: 0.750 0.035 0.719
Pb: 0.250 0.965 0.281

3.
Below is crystalline Ba2LiSnPd6 at its relaxed geometry, with properties calculated at the GGA-PBE level.

density of states at the Fermi level	4.9	states/eV per cell
crystal system	triclinic
DFT formation energy	-4.5	eV per formula unit

a = 6.995 Å, b = 6.757 Å, c = 6.953 Å
α = 61.21°, β = 58.16°, γ = 90.12°
Atoms (fractional coordinates):
Pd: 0.762 0.243 0.100
Pd: 0.347 0.237 0.519
Pd: 0.238 0.757 0.900
Pd: 0.242 0.346 0.894
Pd: 0.758 0.654 0.106
Pd: 0.653 0.763 0.481
Li: 0.000 0.000 0.000
Ba: 0.214 0.786 0.428
Ba: 0.786 0.214 0.572
Sn: 0.500 0.500 0.000

4.
Below is crystalline Pa3Ge3Pt2 at its relaxed geometry, with properties calculated at the GGA-PBE level.

density of states at the Fermi level	16.5	states/eV per cell
crystal system	orthorhombic
DFT formation energy	-6.2	eV per formula unit

a = 4.285 Å, b = 5.715 Å, c = 14.434 Å
α = 90.00°, β = 90.00°, γ = 112.02°
Atoms (fractional coordinates):
Pt: 0.212 0.423 0.393
Pt: 0.788 0.577 0.607
Pt: 0.212 0.423 0.107
Pt: 0.788 0.577 0.893
Pa: 0.920 0.839 0.113
Pa: 0.080 0.161 0.887
Pa: 0.643 0.286 0.250
Pa: 0.920 0.839 0.387
Pa: 0.080 0.161 0.613
Pa: 0.357 0.714 0.750
Ge: 0.385 0.770 0.538
Ge: 0.615 0.230 0.462
Ge: 0.635 0.269 0.750
Ge: 0.365 0.731 0.250
Ge: 0.615 0.230 0.038
Ge: 0.385 0.770 0.962

5.
Below is crystalline BaGeSb3 at its relaxed geometry, with properties calculated at the GGA-PBE level.

density of states at the Fermi level	7.3	states/eV per cell
energy above the lowest structure with this stoichiometry	0.000	eV/f.u.
raw formation energy	-0.317	eV/atom
crystal system	monoclinic

a = 6.885 Å, b = 9.249 Å, c = 10.071 Å
α = 94.98°, β = 90.00°, γ = 90.00°
Atoms (fractional coordinates):
Sb: 0.343 0.660 0.413
Sb: 0.157 0.160 0.913
Sb: 0.281 0.005 0.548
Sb: 0.719 0.995 0.452
Sb: 0.657 0.340 0.587
Sb: 0.781 0.495 0.952
Sb: 0.918 0.158 0.153
Sb: 0.582 0.658 0.653
Sb: 0.418 0.342 0.347
Sb: 0.219 0.505 0.048
Sb: 0.082 0.842 0.847
Sb: 0.843 0.840 0.087
Ba: 0.148 0.441 0.688
Ba: 0.352 0.941 0.188
Ba: 0.852 0.559 0.312
Ba: 0.648 0.059 0.812
Ge: 0.040 0.195 0.423
Ge: 0.540 0.305 0.077
Ge: 0.960 0.805 0.577
Ge: 0.460 0.695 0.923

6.
Below is crystalline Pr2PuRu2N6 at its relaxed geometry, with properties calculated at the GGA-PBE level.

density of states at the Fermi level	7.3	states/eV per cell
raw formation energy	-0.451	eV/atom
crystal system	trigonal

a = 5.725 Å, b = 5.725 Å, c = 6.680 Å
α = 64.63°, β = 64.63°, γ = 60.00°
Last column: magnetic moment on the atom in μB.
Atoms (fractional coordinates):
N: 0.251 0.777 0.722  -0.05
N: 0.223 0.749 0.278  -0.05
N: 0.777 0.251 0.722  -0.05
N: 0.749 0.223 0.278  -0.05
N: 0.749 0.749 0.278  -0.05
N: 0.251 0.251 0.722  -0.05
Ru: 0.393 0.393 0.821  0.02
Ru: 0.607 0.607 0.179  0.02
Pu: 0.000 0.000 0.000  3.61
Pr: 0.209 0.209 0.372  -0.01
Pr: 0.791 0.791 0.628  -0.01

7.
Below is crystalline Ho2ErTe at its relaxed geometry, with properties calculated at the GGA-PBE level.

density of states at the Fermi level	4.7	states/eV per cell
energy above the lowest structure with this stoichiometry	0.368	eV/f.u.
raw formation energy	-0.544	eV/atom
crystal system	tetragonal

a = 3.845 Å, b = 3.845 Å, c = 7.786 Å
α = 90.00°, β = 90.00°, γ = 90.00°
Atoms (fractional coordinates):
Er: 0.500 0.500 0.500
Ho: 0.000 0.000 0.773
Ho: 0.000 0.000 0.227
Te: 0.500 0.500 0.000

8.
Below is crystalline Ce5ErRu6 at its relaxed geometry, with properties calculated at the GGA-PBE level.

density of states at the Fermi level	10.8	states/eV per cell
crystal system	monoclinic
DFT formation energy	-4.0	eV per formula unit

a = 4.946 Å, b = 8.272 Å, c = 8.323 Å
α = 60.20°, β = 73.78°, γ = 55.80°
Atoms (fractional coordinates):
Ce: 0.500 0.837 0.326
Ce: 0.000 0.669 0.663
Ce: 0.000 0.331 0.337
Ce: 0.500 0.163 0.674
Ce: 0.500 0.500 0.000
Ru: 0.707 0.429 0.665
Ru: 0.265 0.252 0.000
Ru: 0.707 0.095 0.335
Ru: 0.735 0.748 0.000
Ru: 0.293 0.905 0.665
Ru: 0.293 0.571 0.335
Er: 0.000 0.000 0.000